Density functional theory data (PBE+U) for K2VCu3F12 after structural relaxation.

Results
Total magnetization = 4.01 μB/cell
Total energy = -4.638 eV per atom
D(E_F) = 0.98 states/eV/cell

Lattice parameters (Å, degrees): 7.8289 7.8289 7.8289 52.73 52.73 52.73
Last column: nearest neighbours and their distance in Å.
Fractional positions:
K: 0.1076 0.1076 0.1076  3 F 2.88
K: 0.8924 0.8924 0.8924  3 F 2.88
V: 0.5000 0.5000 0.5000  6 F 1.88
Cu: 0.0000 0.5000 0.5000  4 F 1.93
Cu: 0.5000 0.0000 0.5000  4 F 1.93
Cu: 0.5000 0.5000 0.0000  4 F 1.93
F: 0.1707 0.1707 0.5794  2 Cu 1.93
F: 0.1707 0.5794 0.1707  2 Cu 1.93
F: 0.1878 0.5792 0.5792  1 V 1.88
F: 0.4208 0.4208 0.8122  1 V 1.88
F: 0.4208 0.8122 0.4208  1 V 1.88
F: 0.4206 0.8293 0.8293  2 Cu 1.93
F: 0.5794 0.1707 0.1707  2 Cu 1.93
F: 0.5792 0.1878 0.5792  1 V 1.88
F: 0.5792 0.5792 0.1878  1 V 1.88
F: 0.8122 0.4208 0.4208  1 V 1.88
F: 0.8293 0.4206 0.8293  2 Cu 1.93
F: 0.8293 0.8293 0.4206  2 Cu 1.93